1.
Ac8Ge3Te4Au PBE-GGA relaxed; total moment = 0.3 Bohr magnetons per cell; electronic total energy = -81.3 eV for the cell shown; space-group type = R-3m, No. 166
1.0
9.3013 0.0000 0.0000
0.0000 9.4625 0.1058
-4.6506 -4.6459 6.5813
Ac Ge Te Au
8 3 4 1
Direct
0.2457 0.7274 0.9817
0.2458 0.7275 0.4916
0.2585 0.2753 0.5169
0.7360 0.7274 0.9817
0.2640 0.2726 0.0183
0.7415 0.7247 0.4831
0.7542 0.2725 0.5084
0.7543 0.2726 0.0183
0.5000 0.5000 0.0000
0.5000 0.5000 0.5000
0.0000 0.5000 0.5000
0.5000 0.0000 0.0000
0.5000 0.0000 0.5000
0.0000 0.0000 0.0000
0.0000 0.0000 0.5000
0.0000 0.5000 0.0000

=====

2.
Ac6Ge2Te3Au PBE-GGA relaxed; total moment = 0.0 Bohr magnetons per cell; electronic total energy = -60.6 eV for the cell shown; space-group type = C2/m, No. 12
1.0
-0.5416 -3.7201 2.7252
4.7872 -5.2860 -6.2644
7.3830 5.5437 5.0795
Ac Ge Te Au
6 2 3 1
Direct
0.3358 0.9001 0.6716
0.6729 0.5677 0.3458
0.6642 0.0999 0.3284
0.0058 0.2436 0.0117
0.9942 0.7564 0.9883
0.3271 0.4323 0.6542
0.8352 0.6697 0.6704
0.1648 0.3303 0.3296
0.5000 0.5000 0.0000
0.8331 0.1679 0.6663
0.1669 0.8321 0.3337
0.5000 0.0000 0.0000

=====

3.
Ac4GeTe2Au PBE-GGA relaxed; total moment = 0.0 Bohr magnetons per cell; electronic total energy = -39.8 eV for the cell shown; space-group type = P2/m, No. 10
1.0
-2.6735 3.3975 1.6304
-5.9467 -2.3883 -4.7746
-0.6706 -4.0015 7.2393
Ac Ge Te Au
4 1 2 1
Direct
0.5000 0.2379 0.2276
0.5000 0.7621 0.7724
0.0000 0.2530 0.7699
0.0000 0.7470 0.2301
0.0000 0.0000 0.0000
0.5000 0.0000 0.5000
0.0000 0.5000 0.5000
0.5000 0.5000 0.0000

=====

4.
Ac2ThGe3Au12 PBE-GGA relaxed; total moment = 0.0 Bohr magnetons per cell; electronic total energy = -71.8 eV for the cell shown; space-group type = R-3m, No. 166
1.0
-0.9147 -1.7290 8.1667
-3.8907 -7.2738 1.5731
5.0575 -6.0780 2.8285
Ac Th Ge Au
2 1 3 12
Direct
0.6008 0.6008 0.6008
0.3992 0.3992 0.3992
0.0000 0.0000 0.0000
0.5000 0.0000 0.0000
0.0000 0.5000 0.0000
0.0000 0.0000 0.5000
0.3130 0.3130 0.8410
0.8544 0.8544 0.3962
0.3962 0.8544 0.8544
0.8410 0.3130 0.3130
0.8544 0.3962 0.8544
0.3130 0.8410 0.3130
0.6870 0.6870 0.1590
0.1456 0.1456 0.6038
0.6038 0.1456 0.1456
0.1590 0.6870 0.6870
0.1456 0.6038 0.1456
0.6870 0.1590 0.6870

=====

total moment of number 2 (Ac6Ge2Te3Au)?
0.0 Bohr magnetons per cell

=====

Copy entry 3 word for word.
Ac4GeTe2Au PBE-GGA relaxed; total moment = 0.0 Bohr magnetons per cell; electronic total energy = -39.8 eV for the cell shown; space-group type = P2/m, No. 10
1.0
-2.6735 3.3975 1.6304
-5.9467 -2.3883 -4.7746
-0.6706 -4.0015 7.2393
Ac Ge Te Au
4 1 2 1
Direct
0.5000 0.2379 0.2276
0.5000 0.7621 0.7724
0.0000 0.2530 0.7699
0.0000 0.7470 0.2301
0.0000 0.0000 0.0000
0.5000 0.0000 0.5000
0.0000 0.5000 0.5000
0.5000 0.5000 0.0000

=====

What is the electronic total energy in the second record?
-60.6 eV for the cell shown